The following is a PBE-GGA calculation of a relaxed Ho2TmAl6 crystal, from Alexandria.

a b c (Å): 4.3656 7.9426 7.9426
angles (deg): 52.41 74.05 74.05
Last column: nearest neighbours and their distance in Å.
Positions (direct):
Ho: 0.3773 0.1227 0.1227  10 Al 2.93-3.18
Ho: 0.6227 0.8773 0.8773  10 Al 2.93-3.18
Tm: 0.5000 0.5000 0.5000  4 Al 3.08
Al: 0.1861 0.5087 0.1192  4 Al 2.65-2.89, 1 Ho 2.93
Al: 0.8139 0.4913 0.8808  4 Al 2.65-2.89, 1 Ho 2.93
Al: 0.8139 0.8808 0.4913  4 Al 2.65-2.89, 1 Ho 2.93
Al: 0.0000 0.1910 0.8090  3 Al 2.65-2.68
Al: 0.0000 0.8090 0.1910  3 Al 2.65-2.68
Al: 0.1861 0.1192 0.5087  4 Al 2.65-2.89, 1 Ho 2.93

DFT total energy: -4.2359 eV per atom
Relative energy among the computed polymorphs: 0.262 eV/atom
Energy of formation from the pure elements: -0.23 eV per atom
DOS at the Fermi energy: 5.003 states/eV/cell